# 1
Compound: BaTa2W
Source: the Alexandria database
Functional: GGA-PBEsol
Structure: relaxed

a b c (Å): 2.849 2.849 10.552
angles (deg): 90.00 90.00 90.00
Space group P4mm (No. 99)
Asymmetric unit:
1 Ba 0.000 0.000 0.000 [1 per cell]
2 Ta 0.000 0.000 0.514 [1 per cell]
3 Ta 0.500 0.500 0.306 [1 per cell]
4 W 0.500 0.500 0.723 [1 per cell]

Results
total magnetic moment = 0.00 μB/f.u.
calculated formation energy = 900 meV/atom
calculated volume = 85.65 Å³/cell

# 2
Compound: NaAg2Bi2
Source: the Alexandria database
Functional: GGA-PBEsol
Structure: relaxed

a b c (Å): 4.603 4.603 12.775
angles (deg): 90.00 90.00 90.00
Space group I4/mmm (No. 139)
Asymmetric unit:
1 Na 0.000 0.000 0.000 [2 per cell]
2 Ag 0.000 0.500 0.250 [4 per cell]
3 Bi 0.000 0.000 0.382 [4 per cell]

Results
total magnetic moment = 0.00 μB/f.u.
calculated formation energy = -1 meV/atom
calculated volume = 270.66 Å³/cell

# 3
Compound: TcAg2Ir
Source: the Alexandria database
Functional: GGA-PBEsol
Structure: relaxed

a b c (Å): 4.714 4.714 2.743
angles (deg): 90.00 90.00 90.00
Space group P4/mmm (No. 123)
Asymmetric unit:
1 Tc 0.000 0.000 0.000 [1 per cell]
2 Ag 0.000 0.500 0.500 [2 per cell]
3 Ir 0.500 0.500 0.000 [1 per cell]

Results
total magnetic moment = 0.00 μB/f.u.
calculated formation energy = 838 meV/atom
calculated volume = 60.96 Å³/cell

# 4
Compound: KInTeI2
Source: the Alexandria database
Functional: GGA-PBEsol
Structure: relaxed

a b c (Å): 5.747 5.747 8.588
angles (deg): 90.00 90.00 90.00
Space group P4/mmm (No. 123)
Asymmetric unit:
1 K 0.000 0.000 0.000 [1 per cell]
2 In 0.000 0.000 0.500 [1 per cell]
3 Te 0.500 0.500 0.000 [1 per cell]
4 I 0.000 0.500 0.500 [2 per cell]

Results
raw formation energy = -58 meV per atom
total magnetic moment = 1.15 μB/f.u.
calculated volume = 283.63 Å³/cell

# 5
Compound: TlInSe2
Source: the Alexandria database
Functional: GGA-PBEsol
Structure: relaxed

a b c (Å): 7.521 7.521 8.434
angles (deg): 90.00 90.00 90.00
Space group I-42d (No. 122)
Asymmetric unit:
1 Tl 0.000 0.000 0.000 [4 per cell]
2 In 0.000 0.000 0.500 [4 per cell]
3 Se 0.191 0.750 0.625 [8 per cell]

Results
raw formation energy = -427 meV per atom
total magnetic moment = 0.00 μB/f.u.
calculated volume = 477.11 Å³/cell

# 6
Compound: LaSb2TeMo
Source: the Alexandria database
Functional: GGA-PBEsol
Structure: relaxed

a b c (Å): 5.084 5.084 5.598
angles (deg): 90.00 90.00 90.00
Space group P4/mmm (No. 123)
Asymmetric unit:
1 La 0.000 0.000 0.000 [1 per cell]
2 Sb 0.000 0.500 0.500 [2 per cell]
3 Te 0.500 0.500 0.000 [1 per cell]
4 Mo 0.500 0.500 0.500 [1 per cell]

Results
raw formation energy = -44 meV per atom
total magnetic moment = 0.19 μB/f.u.
calculated volume = 144.67 Å³/cell

# 7
Compound: BaSrSi2
Source: the Alexandria database
Functional: GGA-PBEsol
Structure: relaxed

a b c (Å): 4.042 4.851 11.734
angles (deg): 90.00 90.00 90.00
Space group Amm2 (No. 38)
Asymmetric unit:
1 Ba 0.000 0.000 0.000 [2 per cell]
2 Sr 0.500 0.000 0.720 [2 per cell]
3 Si 0.000 0.000 0.292 [2 per cell]
4 Si 0.500 0.000 0.413 [2 per cell]

Results
raw formation energy = -482 meV per atom
total magnetic moment = 0.00 μB/f.u.
calculated volume = 230.07 Å³/cell

# 8
Compound: Ta3Os
Source: the Alexandria database
Functional: GGA-PBEsol
Structure: relaxed

a b c (Å): 6.400 6.400 6.400
angles (deg): 90.00 90.00 90.00
Space group Fm-3m (No. 225)
Asymmetric unit:
1 Ta 0.000 0.000 0.000 [4 per cell]
2 Ta 0.250 0.250 0.250 [8 per cell]
3 Os 0.000 0.000 0.500 [4 per cell]

Results
total magnetic moment = 0.00 μB/f.u.
calculated formation energy = -272 meV/atom
calculated volume = 262.16 Å³/cell

# 9
Compound: LiMnBO3
Source: the Alexandria database
Functional: GGA-PBEsol
Structure: relaxed

a b c (Å): 5.189 8.964 10.226
angles (deg): 90.00 91.67 90.00
Space group Cc (No. 9)
Asymmetric unit:
1 Li 0.000 0.004 0.000 [4 per cell]
2 Li 0.324 0.013 0.250 [4 per cell]
3 Mn 0.322 0.341 0.218 [4 per cell]
4 Mn 0.493 0.166 0.968 [4 per cell]
5 B 0.328 0.328 0.710 [4 per cell]
6 B 0.492 0.169 0.460 [4 per cell]
7 O 0.063 0.336 0.681 [4 per cell]
8 O 0.250 0.340 0.001 [4 per cell]
9 O 0.344 0.042 0.446 [4 per cell]
10 O 0.382 0.308 0.431 [4 per cell]
11 O 0.436 0.193 0.750 [4 per cell]
12 O 0.479 0.453 0.696 [4 per cell]

Results
raw formation energy = -1997 meV per atom
total magnetic moment = 5.00 μB/f.u.
calculated volume = 475.49 Å³/cell

# 10
Compound: TaAg2Sb
Source: the Alexandria database
Functional: GGA-PBEsol
Structure: relaxed

a b c (Å): 3.620 4.646 9.105
angles (deg): 90.00 90.00 90.00
Space group Cmm2 (No. 35)
Asymmetric unit:
1 Ta 0.000 0.000 0.000 [2 per cell]
2 Ag 0.000 0.000 0.538 [2 per cell]
3 Ag 0.000 0.500 0.767 [2 per cell]
4 Sb 0.000 0.500 0.244 [2 per cell]

Results
raw formation energy = 221 meV per atom
total magnetic moment = 0.00 μB/f.u.
calculated volume = 153.14 Å³/cell

# 11
Compound: AlIrPt
Source: the Alexandria database
Functional: GGA-PBEsol
Structure: relaxed

a b c (Å): 5.912 5.912 5.912
angles (deg): 90.00 90.00 90.00
Space group F-43m (No. 216)
Asymmetric unit:
1 Al 0.000 0.000 0.000 [4 per cell]
2 Ir 0.250 0.250 0.250 [4 per cell]
3 Pt 0.000 0.000 0.500 [4 per cell]

Results
total magnetic moment = 0.00 μB/f.u.
calculated formation energy = -80 meV/atom
calculated volume = 206.64 Å³/cell

# 12
Compound: YAsBr2
Source: the Alexandria database
Functional: GGA-PBEsol
Structure: relaxed

a b c (Å): 3.444 3.444 7.962
angles (deg): 90.00 90.00 90.00
Space group P4/mmm (No. 123)
Asymmetric unit:
1 Y 0.000 0.000 0.000 [1 per cell]
2 As 0.000 0.000 0.500 [1 per cell]
3 Br 0.500 0.500 0.203 [2 per cell]

Results
raw formation energy = -703 meV per atom
total magnetic moment = 0.00 μB/f.u.
calculated volume = 94.44 Å³/cell

# 13
Compound: YMg2Zn
Source: the Alexandria database
Functional: GGA-PBEsol
Structure: relaxed

a b c (Å): 3.397 3.397 7.615
angles (deg): 90.00 90.00 90.00
Space group P4mm (No. 99)
Asymmetric unit:
1 Y 0.000 0.000 0.000 [1 per cell]
2 Mg 0.000 0.000 0.441 [1 per cell]
3 Mg 0.500 0.500 0.697 [1 per cell]
4 Zn 0.500 0.500 0.243 [1 per cell]

Results
total magnetic moment = 0.21 μB/f.u.
calculated formation energy = -138 meV/atom
calculated volume = 87.87 Å³/cell

# 14
Compound: Si2BC
Source: the Alexandria database
Functional: GGA-PBEsol
Structure: relaxed

a b c (Å): 4.566 4.566 8.864
angles (deg): 90.00 90.00 90.00
Space group I-42d (No. 122)
Asymmetric unit:
1 Si 0.232 0.250 0.125 [8 per cell]
2 B 0.000 0.000 0.500 [4 per cell]
3 C 0.000 0.000 0.000 [4 per cell]

Results
raw formation energy = 140 meV per atom
total magnetic moment = 0.00 μB/f.u.
calculated volume = 184.79 Å³/cell